Record 1
VASP calculation (PBE-GGA) on a relaxed Y2Bi3W4C3 crystal.

CIF file:
```
data_Y2Bi3W4C3
_cell_length_a 9.887
_cell_length_b 5.834
_cell_length_c 16.087
_cell_angle_alpha 90.00
_cell_angle_beta 93.29
_cell_angle_gamma 90.00
_symmetry_space_group_name_H-M 'C 1 2/c 1'
_symmetry_Int_Tables_number 15
_symmetry_space_group_name_Hall '-C 2yc'
loop_
_atom_site_label
_atom_site_fract_x
_atom_site_fract_y
_atom_site_fract_z
_atom_site_occupancy
Y1 0.086 0.076 0.100 1
Bi1 0.000 0.418 0.250 1
Bi2 0.172 0.117 0.789 1
W1 0.076 0.402 0.939 1
W2 0.238 0.070 0.448 1
C1 0.084 0.257 0.500 1
C2 0.250 0.250 0.000 1
```


Record 2
VASP calculation (PBE-GGA) on a relaxed ZnBiW4C2 crystal.

CIF file:
```
data_ZnBiW4C2
_cell_length_a 3.1475
_cell_length_b 3.1475
_cell_length_c 13.9519
_cell_angle_alpha 90.00
_cell_angle_beta 90.00
_cell_angle_gamma 120.00
_symmetry_space_group_name_H-M 'P -6 m 2'
_symmetry_Int_Tables_number 187
_symmetry_space_group_name_Hall 'P -6 2'
loop_
_atom_site_label
_atom_site_fract_x
_atom_site_fract_y
_atom_site_fract_z
_atom_site_occupancy
Zn1 0.0000 0.0000 0.0000 1
Bi1 0.6667 0.3333 0.5000 1
W1 0.0000 0.0000 0.3103 1
W2 0.6667 0.3333 0.1499 1
C1 0.3333 0.6667 0.2329 1
```


Record 3
VASP calculation (PBE-GGA) on a relaxed Zr4Bi3W2C3 crystal.

CIF file:
```
data_Zr4Bi3W2C3
_cell_length_a 10.366
_cell_length_b 5.999
_cell_length_c 14.248
_cell_angle_alpha 90.00
_cell_angle_beta 103.65
_cell_angle_gamma 90.00
_symmetry_space_group_name_H-M 'C 1 2/c 1'
_symmetry_Int_Tables_number 15
_symmetry_space_group_name_Hall '-C 2yc'
loop_
_atom_site_label
_atom_site_fract_x
_atom_site_fract_y
_atom_site_fract_z
_atom_site_occupancy
Zr1 0.111 0.076 0.086 1
Zr2 0.218 0.088 0.414 1
Bi1 0.000 0.102 0.750 1
Bi2 0.160 0.424 0.251 1
W1 0.067 0.411 0.933 1
C1 0.080 0.261 0.500 1
C2 0.250 0.250 0.000 1
```


Record 4
VASP calculation (PBE-GGA) on a relaxed Y4ZnBiC2 crystal.

CIF file:
```
data_Y4ZnBiC2
_cell_length_a 3.6566
_cell_length_b 3.6566
_cell_length_c 15.2386
_cell_angle_alpha 90.00
_cell_angle_beta 90.00
_cell_angle_gamma 120.00
_symmetry_space_group_name_H-M 'P -6 m 2'
_symmetry_Int_Tables_number 187
_symmetry_space_group_name_Hall 'P -6 2'
loop_
_atom_site_label
_atom_site_fract_x
_atom_site_fract_y
_atom_site_fract_z
_atom_site_occupancy
Y1 0.0000 0.0000 0.1531 1
Y2 0.6667 0.3333 0.3282 1
Zn1 0.6667 0.3333 0.0000 1
Bi1 0.0000 0.0000 0.5000 1
C1 0.3333 0.6667 0.2435 1
```


no.,final energy (eV per atom)
1,-8.701
2,-9.078
3,-8.616
4,-6.617